1:
The following is a PBE calculation of Pt3Rh2 after structural relaxation, from Alexandria via LeMat-Bulk.

The structure in POSCAR format:
```
Pt3Rh2
1.0
4.295 0.000 0.000
-2.147 3.719 0.000
0.000 0.000 5.298
Pt Rh
3 2
direct
0.000 0.000 0.000 Pt
0.333 0.667 0.376 Pt
0.667 0.333 0.624 Pt
0.333 0.667 0.863 Rh
0.667 0.333 0.137 Rh
```

- Volume: 85 Å³/cell
- Total moment: 0.00 μB/f.u.

=====

2:
The following is a PBE calculation of Pt3Rh2 after structural relaxation, from Alexandria via LeMat-Bulk.

The structure in POSCAR format:
```
Pt3Rh2
1.0
-1.385 1.385 9.811
1.385 -1.385 9.811
1.385 1.385 -9.811
Pt Rh
3 2
direct
0.000 0.000 0.000 Pt
0.198 0.198 0.000 Pt
0.802 0.802 0.000 Pt
0.401 0.401 0.000 Rh
0.599 0.599 0.000 Rh
```

- Volume: 75 Å³/cell
- Total moment: 0.00 μB/f.u.

=====

Short version: 2 is the most stable of them.

=====

1:
The following is a PBE calculation of Pt2Rh3 after structural relaxation, from Alexandria via LeMat-Bulk.

The structure in POSCAR format:
```
Pt2Rh3
1.0
0.000 6.631 2.465
4.595 0.000 2.465
4.595 6.631 0.000
Pt Rh
4 6
direct
0.274 0.726 0.321 Pt
0.571 0.929 0.524 Pt
0.726 0.274 0.679 Pt
0.929 0.571 0.976 Pt
0.096 0.824 0.098 Rh
0.152 0.269 0.154 Rh
0.269 0.152 0.426 Rh
0.429 0.429 0.571 Rh
0.679 0.679 0.821 Rh
0.824 0.096 0.981 Rh
```

- Volume: 150 Å³/cell
- Total moment: 0.00 μB/f.u.

=====

2:
The following is a PBE calculation of Pt2Rh3 after structural relaxation, from Alexandria via LeMat-Bulk.

The structure in POSCAR format:
```
Pt2Rh3
1.0
1.823 1.052 7.435
-1.823 1.052 7.435
0.000 -2.105 7.435
Pt Rh
2 3
direct
0.099 0.099 0.099 Pt
0.901 0.901 0.901 Pt
0.302 0.302 0.302 Rh
0.500 0.500 0.500 Rh
0.698 0.698 0.698 Rh
```

- Volume: 86 Å³/cell
- Total moment: 0.00 μB/f.u.

=====

3:
The following is a PBE calculation of Pt2Rh3 after structural relaxation, from Alexandria via LeMat-Bulk.

The structure in POSCAR format:
```
Pt2Rh3
1.0
4.283 0.000 0.000
-2.142 3.709 0.000
0.000 0.000 5.287
Pt Rh
2 3
direct
0.333 0.667 0.354 Pt
0.667 0.333 0.646 Pt
0.000 0.000 0.500 Rh
0.333 0.667 0.871 Rh
0.667 0.333 0.129 Rh
```

- Volume: 84 Å³/cell
- Total moment: 0.01 μB/f.u.

=====

Short version: 1 is the most stable of them.

=====

1:
The following is a PBE calculation of Pt5Rh4 after structural relaxation, from Alexandria via LeMat-Bulk.

The structure in POSCAR format:
```
Pt5Rh4
1.0
7.732 0.000 0.000
-3.866 6.696 0.000
0.000 0.000 5.352
Pt Rh
10 8
direct
0.000 0.313 0.250 Pt
0.000 0.687 0.750 Pt
0.313 0.000 0.250 Pt
0.313 0.313 0.750 Pt
0.333 0.667 0.000 Pt
0.333 0.667 0.500 Pt
0.667 0.333 0.000 Pt
0.667 0.333 0.500 Pt
0.687 0.000 0.750 Pt
0.687 0.687 0.250 Pt
0.000 0.000 0.000 Rh
0.000 0.000 0.500 Rh
0.000 0.351 0.750 Rh
0.000 0.649 0.250 Rh
0.351 0.000 0.750 Rh
0.351 0.351 0.250 Rh
0.649 0.000 0.250 Rh
0.649 0.649 0.750 Rh
```

- Volume: 277 Å³/cell
- Total moment: 0.00 μB/f.u.

=====

2:
The following is a PBE calculation of Pt5Rh4 after structural relaxation, from Alexandria via LeMat-Bulk.

The structure in POSCAR format:
```
Pt5Rh4
1.0
-1.954 4.153 4.157
1.954 -4.153 4.157
1.954 4.153 -4.157
Pt Rh
5 4
direct
0.000 0.000 0.000 Pt
0.331 0.000 0.331 Pt
0.331 0.331 0.000 Pt
0.669 0.000 0.669 Pt
0.669 0.669 0.000 Pt
0.000 0.334 0.666 Rh
0.000 0.666 0.334 Rh
0.332 0.666 0.666 Rh
0.668 0.334 0.334 Rh
```

- Volume: 135 Å³/cell
- Total moment: 0.01 μB/f.u.

=====

Short version: 2 is the most stable of them.